1.
VASP calculation (GGA-PBE) on Cd4AgAu4 after structural relaxation.

Results
Spin magnetization ... 0.00 μB/cell
Calculated volume ... 22.07 Å³/atom
DFT formation energy ... -0.057 eV/atom
Space-group type ... I222, No. 23
Electronic total energy ... -2.24 eV/atom

```
9
Lattice="-2.6217 3.3198 5.7047 2.6217 -3.3198 5.7047 2.6217 3.3198 -5.7047" Properties=species:S:1:pos:R:3 pbc="T T T"
Cd 1.5837 -1.8437 3.6618
Cd 1.0380 1.4761 2.0429
Cd 1.0380 5.1636 -2.0429
Cd 1.5837 1.8437 7.7476
Ag 0.0000 3.3198 0.0000
Au 1.5669 1.1738 -0.9397
Au 3.6765 1.1738 0.9397
Au 1.0548 2.1460 4.7650
Au -1.0548 2.1460 6.6444
```

2.
VASP calculation (GGA-PBE) on LiInSn after structural relaxation.

Results
Spin magnetization ... 0.00 μB/cell
Calculated volume ... 23.43 Å³/atom
DFT formation energy ... -0.137 eV/atom
Space-group type ... Cmcm, No. 63
Electronic total energy ... -3.02 eV/atom

```
6
Lattice="2.5086 -4.3115 0.0000 2.5086 4.3115 0.0000 0.0000 0.0000 6.4986" Properties=species:S:1:pos:R:3 pbc="T T T"
Li 2.5086 2.8526 4.8739
Li 2.5086 -2.8526 1.6246
In 2.5086 0.0000 0.0000
In 2.5086 0.0000 3.2493
Sn 2.5086 2.8858 1.6246
Sn 2.5086 -2.8858 4.8739
```

3.
VASP calculation (GGA-PBE) on CsScGaTe3 after structural relaxation.

Results
Spin magnetization ... 0.00 μB/cell
Calculated volume ... 37.80 Å³/atom
Space-group type ... P2_1/m, No. 11
Electronic total energy ... -4.17 eV/atom

```
12
Lattice="10.0257 0.0000 0.0000 0.0000 4.3575 0.0000 -3.6845 0.0000 10.3832" Properties=species:S:1:pos:R:3 pbc="T T T"
Cs 1.1151 1.0894 2.6301
Cs 5.2261 3.2681 7.7531
Sc 0.2509 3.2681 9.1316
Sc 6.0903 1.0894 1.2516
Ga -1.6002 1.0894 6.4870
Ga 7.9413 3.2681 3.8962
Te -1.7951 1.0894 9.1974
Te 0.0584 3.2681 6.0097
Te 4.1148 3.2681 1.6234
Te 2.2263 1.0894 8.7598
Te 6.2828 1.0894 4.3735
Te 8.1362 3.2681 1.1858
```

4.
VASP calculation (GGA-PBE) on Pd2Br2Cl after structural relaxation.

Results
Spin magnetization ... 0.00 μB/cell
Calculated volume ... 24.02 Å³/atom
Space-group type ... P4/mbm, No. 127
Electronic total energy ... -3.14 eV/atom

```
10
Lattice="7.1045 0.0000 0.0000 0.0000 7.1045 0.0000 0.0000 0.0000 4.7588" Properties=species:S:1:pos:R:3 pbc="T T T"
Pd 1.7022 1.8500 0.0000
Pd 1.8500 5.4023 0.0000
Pd 5.2545 1.7022 0.0000
Pd 5.4023 5.2545 0.0000
Br 1.1904 2.3619 2.3794
Br 2.3619 5.9141 2.3794
Br 4.7427 1.1904 2.3794
Br 5.9141 4.7427 2.3794
Cl 0.0000 0.0000 0.0000
Cl 3.5523 3.5523 0.0000
```

5.
VASP calculation (GGA-PBE) on SrCaRe2 after structural relaxation.

Results
Spin magnetization ... 0.00 μB/cell
Calculated volume ... 29.17 Å³/atom
DFT formation energy ... 0.729 eV/atom
Space-group type ... C2/m, No. 12
Electronic total energy ... -6.42 eV/atom

```
4
Lattice="5.4473 -1.9494 0.0000 5.4473 1.9494 0.0000 -2.9909 0.0000 5.4934" Properties=species:S:1:pos:R:3 pbc="T T T"
Sr 0.0000 0.0000 0.0000
Ca 3.9518 0.0000 2.7467
Re 0.8926 0.0000 3.3515
Re 7.0111 0.0000 2.1419
```

6.
VASP calculation (GGA-PBE) on K4Zr3PdS8 after structural relaxation.

Results
Spin magnetization ... 0.65 μB/cell
Calculated volume ... 23.31 Å³/atom
Space-group type ... C2/m, No. 12
Electronic total energy ... -5.56 eV/atom

```
16
Lattice="6.7691 -3.7670 0.0000 6.7691 3.7670 0.0000 -4.4321 0.0000 7.3137" Properties=species:S:1:pos:R:3 pbc="T T T"
K 0.0000 0.0000 0.0000
K 3.3846 1.8835 0.0000
K 3.3846 -1.8835 0.0000
K 6.7691 0.0000 0.0000
Zr -2.2160 0.0000 3.6569
Zr 1.1685 1.8835 3.6569
Zr 1.1685 -1.8835 3.6569
Pd 4.5531 0.0000 3.6569
S 0.0255 0.0000 5.1159
S 3.4287 1.8572 5.0280
S 2.0833 0.0000 2.1587
S 5.6774 1.8572 2.2858
S 3.4287 -1.8572 5.0280
S 7.0229 0.0000 5.1550
S 5.6774 -1.8572 2.2858
S 9.0807 0.0000 2.1978
```

7.
VASP calculation (GGA-PBE) on Na2ZrAlPt after structural relaxation.

Results
Spin magnetization ... 0.00 μB/cell
Calculated volume ... 27.01 Å³/atom
DFT formation energy ... 0.891 eV/atom
Space-group type ... P4/mmm, No. 123
Electronic total energy ... -3.30 eV/atom

```
5
Lattice="4.9922 0.0000 0.0000 0.0000 4.9922 0.0000 0.0000 0.0000 5.4192" Properties=species:S:1:pos:R:3 pbc="T T T"
Na 0.0000 2.4961 0.0000
Na 2.4961 0.0000 0.0000
Zr 0.0000 0.0000 2.7096
Al 0.0000 0.0000 0.0000
Pt 2.4961 2.4961 2.7096
```

8.
VASP calculation (GGA-PBE) on LiAsIr2 after structural relaxation.

Results
Spin magnetization ... 0.00 μB/cell
Calculated volume ... 14.89 Å³/atom
DFT formation energy ... -0.041 eV/atom
Space-group type ... Imm2, No. 44
Electronic total energy ... -6.11 eV/atom

```
4
Lattice="-1.4423 2.0549 5.0240 1.4423 -2.0549 5.0240 1.4423 2.0549 -5.0240" Properties=species:S:1:pos:R:3 pbc="T T T"
Li 0.0000 0.0000 0.0000
As 1.4423 0.0000 2.6242
Ir 0.0000 0.0000 4.6000
Ir 0.0000 2.0549 1.9173
```

9.
VASP calculation (GGA-PBE) on Ho4CoRu after structural relaxation.

Results
Spin magnetization ... 0.00 μB/cell
Calculated volume ... 23.74 Å³/atom
DFT formation energy ... -0.277 eV/atom
Space-group type ... C2/c, No. 15
Electronic total energy ... -6.06 eV/atom

```
12
Lattice="4.3823 -6.4531 0.0000 4.3823 6.4531 0.0000 -3.4180 0.0000 5.0378" Properties=species:S:1:pos:R:3 pbc="T T T"
Ho 0.1574 4.1455 4.5372
Ho 0.1502 0.7970 3.6673
Ho 3.4801 4.1455 3.0196
Ho 1.8592 -0.7970 1.1484
Ho 3.4873 0.7970 3.8894
Ho 1.8664 -4.1455 2.0183
Ho 5.1963 -0.7970 1.3705
Ho 5.1891 -4.1455 0.5007
Co 3.5278 -6.4523 1.2595
Co 1.8188 6.4523 3.7784
Ru 3.5278 1.7443 1.2595
Ru 1.8188 -1.7443 3.7784
```

10.
VASP calculation (GGA-PBE) on ReAg2Ru after structural relaxation.

Results
Spin magnetization ... 0.00 μB/cell
Calculated volume ... 15.66 Å³/atom
DFT formation energy ... 0.694 eV/atom
Space-group type ... I-4m2, No. 119
Electronic total energy ... -6.16 eV/atom

```
4
Lattice="-2.0204 2.0204 3.8376 2.0204 -2.0204 3.8376 2.0204 2.0204 -3.8376" Properties=species:S:1:pos:R:3 pbc="T T T"
Re 0.0000 0.0000 0.0000
Ag 0.0000 0.0000 3.8376
Ag 0.0000 2.0204 1.9188
Ru 2.0204 0.0000 1.9188
```

11.
VASP calculation (GGA-PBE) on ScInPd3 after structural relaxation.

Results
Spin magnetization ... 0.00 μB/cell
Calculated volume ... 22.17 Å³/atom
DFT formation energy ... 0.193 eV/atom
Space-group type ... Pm-3m, No. 221
Electronic total energy ... -4.74 eV/atom

```
5
Lattice="4.8036 0.0000 0.0000 0.0000 4.8036 0.0000 0.0000 0.0000 4.8036" Properties=species:S:1:pos:R:3 pbc="T T T"
Sc 0.0000 0.0000 0.0000
In 2.4018 2.4018 2.4018
Pd 0.0000 0.0000 2.4018
Pd 0.0000 2.4018 0.0000
Pd 2.4018 0.0000 0.0000
```

12.
VASP calculation (GGA-PBE) on Tb5Pm4Ho2 after structural relaxation.

Results
Spin magnetization ... 0.00 μB/cell
Calculated volume ... 32.74 Å³/atom
DFT formation energy ... 0.110 eV/atom
Space-group type ... C2/m, No. 12
Electronic total energy ... -4.55 eV/atom

```
11
Lattice="9.8094 -2.9284 0.0000 9.8094 2.9284 0.0000 -0.5996 0.0000 6.2694" Properties=species:S:1:pos:R:3 pbc="T T T"
Tb 0.0000 0.0000 0.0000
Tb 5.2654 0.0000 3.7948
Tb 7.1823 0.0000 0.9091
Tb 11.8369 0.0000 5.3603
Tb 13.7538 0.0000 2.4746
Pm 3.7548 0.0000 0.4327
Pm 8.6826 0.0000 4.5273
Pm 10.3366 0.0000 1.7421
Pm 15.2644 0.0000 5.8367
Ho 1.5985 0.0000 3.3883
Ho 17.4207 0.0000 2.8811
```